# 1
Material: NaScCuTe3
Method: DFT, PBE-GGA
State: optimized geometry

POSCAR file:
```
NaScCuTe3
1.0
14.881 0.000 0.000
0.000 4.015 0.000
0.000 0.000 10.968
Cu Te Na Sc
4 12 4 4
Cartesian
7.605 3.011 0.969
14.717 1.004 6.452
7.276 1.004 9.999
0.164 3.011 4.515
1.659 1.004 10.238
9.495 3.011 2.796
2.054 3.011 2.688
13.359 1.004 4.179
1.523 3.011 6.789
8.963 3.011 9.662
9.100 1.004 6.214
12.827 1.004 8.280
13.222 3.011 0.730
5.781 3.011 4.754
5.386 1.004 8.171
5.918 1.004 1.305
11.578 3.011 6.055
4.137 3.011 10.396
10.744 1.004 0.571
3.304 1.004 4.912
7.614 1.004 3.681
0.173 1.004 1.803
7.267 3.011 7.286
14.708 3.011 9.165
```

Results
Size of the total moment: 0.00 μB/f.u.
Energy: -4.25 eV/atom

---

# 2
Material: NaCu2Se2
Method: DFT, PBE-GGA
State: optimized geometry

POSCAR file:
```
NaCu2Se2
1.0
2.457 -6.611 1.187
-2.386 -5.746 3.528
-1.283 5.309 -4.618
Cu Se Na
2 2 1
Cartesian
0.604 -3.740 -0.536
-1.817 -3.308 0.634
0.026 -4.531 1.729
0.045 -7.826 2.986
0.000 0.000 0.000
```

Results
Energy: -3.60 eV/atom

---

# 3
Material: NaCu3Se2
Method: DFT, PBE-GGA
State: optimized geometry

POSCAR file:
```
NaCu3Se2
1.0
7.516 -1.971 0.000
7.516 1.971 0.000
-3.459 0.000 7.407
Na Cu Se
2 6 4
Cartesian
0.120 0.000 4.106
11.452 0.000 3.300
4.498 0.000 0.410
3.189 0.000 6.403
-2.271 0.000 6.731
13.843 0.000 0.675
7.074 0.000 6.996
8.383 0.000 1.004
6.285 0.000 2.138
5.287 0.000 5.269
9.210 0.000 5.878
2.362 0.000 1.529
```

Results
Energy: -3.61 eV/atom

---

# 4
Material: NaCuSiSe3
Method: DFT, PBE-GGA
State: optimized geometry

POSCAR file:
```
NaCuSiSe3
1.0
0.271 6.703 1.704
-3.198 6.025 1.175
-1.021 -2.462 9.847
Se Cu Si Na
6 2 2 2
Cartesian
-1.114 4.621 1.377
-1.559 3.547 5.672
-2.835 5.645 11.348
-3.531 10.176 10.104
-2.390 6.718 7.054
-0.418 0.090 2.621
-2.435 5.409 9.026
-1.514 4.857 3.699
-0.511 -1.231 4.923
0.000 0.000 0.000
-2.422 8.802 4.592
-1.527 1.463 8.134
```

Results
ΔE to the lowest computed polymorph: 72.8 meV per atom

---

# 5
Material: NaCuSiSe3
Method: DFT, PBE-GGA
State: optimized geometry

POSCAR file:
```
NaCuSiSe3
1.0
7.614 0.000 0.000
0.000 3.721 0.000
-2.721 0.000 8.843
Na Cu Se Si
2 2 6 2
Cartesian
5.228 2.791 1.707
-0.336 0.930 7.136
0.164 0.930 0.787
4.728 2.791 8.056
1.829 2.791 0.671
5.079 2.791 5.661
-0.187 0.930 3.182
3.284 0.930 3.240
3.064 0.930 8.172
1.608 2.791 5.603
1.510 2.791 3.143
3.383 0.930 5.700
```

Results
ΔE to the lowest computed polymorph: 0.0 meV per atom

---

# 6
Material: NaCuSiTeSe2
Method: DFT, PBE-GGA
State: optimized geometry

POSCAR file:
```
NaCuSiTeSe2
1.0
6.231 1.666 3.373
-7.233 0.440 -0.682
-1.118 -8.603 6.313
Na Se Cu Te Si
2 4 2 2 2
Cartesian
2.690 -0.782 3.969
-4.810 -5.716 5.035
-2.692 -3.048 3.737
-2.225 0.546 1.100
0.105 -7.044 7.904
0.572 -3.450 5.267
-1.746 -1.186 2.633
-0.374 -5.312 6.371
-6.613 -1.629 1.167
4.493 -4.869 7.837
-0.559 -4.302 3.156
0.000 0.000 0.000
```

Results
Energy: -3.74 eV/atom

---

# 7
Material: NaCuSiTe2Se
Method: DFT, PBE-GGA
State: optimized geometry

POSCAR file:
```
NaCuSiTe2Se
1.0
1.905 -7.053 0.000
1.905 7.053 0.000
0.000 0.000 10.561
Te Si Na Se Cu
4 2 2 2 2
Cartesian
1.905 1.954 10.248
1.905 1.954 5.593
1.905 -1.954 0.312
1.905 -1.954 4.968
0.000 0.000 5.280
0.000 0.000 0.000
1.905 -3.318 7.920
1.905 3.318 2.640
1.905 -6.410 2.640
1.905 6.410 7.920
1.905 -0.880 2.640
1.905 0.880 7.920
```

Results
Energy: -3.59 eV/atom

---

# 8
Material: NaSmCuSe3
Method: DFT, PBE-GGA
State: optimized geometry

POSCAR file:
```
NaSmCuSe3
1.0
8.295 0.000 0.000
0.000 4.077 0.000
-2.203 0.000 9.338
Sm Na Se Cu
2 2 6 2
Cartesian
1.213 1.019 1.372
4.879 3.058 7.965
0.730 3.058 7.050
5.362 1.019 2.288
7.424 3.058 1.523
2.826 1.019 7.909
4.728 3.058 4.960
-1.332 1.019 7.815
3.267 3.058 1.429
1.364 1.019 4.377
3.516 1.019 5.564
2.576 3.058 3.773
```

Results
Size of the total moment: 0.00 μB/f.u.
Energy: -4.47 eV/atom

---

# 9
Material: NaCuSnSe3
Method: DFT, PBE-GGA
State: optimized geometry

POSCAR file:
```
NaCuSnSe3
1.0
-6.246 0.753 -2.862
-4.240 -1.573 -5.227
-3.542 -8.611 5.466
Na Cu Se Sn
2 2 6 2
Cartesian
-8.744 -2.768 -4.695
-5.286 -6.664 2.072
-8.390 -6.907 -0.323
-5.639 -2.525 -2.301
-12.403 -7.221 -3.418
-3.966 -0.775 -2.603
-1.626 -2.211 0.795
-10.063 -8.657 -0.021
-8.687 -5.311 -2.145
-5.343 -4.121 -0.479
0.000 0.000 0.000
-1.771 -4.305 2.733
```

Results
ΔE to the lowest computed polymorph: 45.2 meV per atom

---

# 10
Material: NaCuSnSe3
Method: DFT, PBE-GGA
State: optimized geometry

POSCAR file:
```
NaCuSnSe3
1.0
13.397 0.000 0.000
0.000 3.972 0.000
0.000 0.000 10.669
Se Na Cu Sn
12 4 4 4
Cartesian
8.197 2.979 0.660
1.499 2.979 4.675
11.899 0.993 5.995
8.530 0.993 7.936
5.200 0.993 10.009
12.087 2.979 9.310
8.009 0.993 3.975
11.566 2.979 2.601
1.310 0.993 1.360
5.388 2.979 6.694
4.867 2.979 2.733
1.832 0.993 8.068
10.468 0.993 0.300
2.929 2.979 10.369
3.769 0.993 5.034
9.628 2.979 5.635
0.130 0.993 9.893
13.268 2.979 0.777
6.569 2.979 4.558
6.828 0.993 6.111
6.471 0.993 1.731
0.227 2.979 7.066
13.170 0.993 3.604
6.926 2.979 8.938
```

Results
ΔE to the lowest computed polymorph: 0.0 meV per atom